TmCdIr: optimized geometry, PBE.

Cell: 3.5692 3.5692 5.3917 Å, 109.33 109.33 90.00°
Element x y z (fractional)
Ir  0.6089  0.6089  0.2177
Tm  0.9665  0.9665  0.9329
Cd  0.2747  0.2747  0.5494

## Properties
Theoretical density ... 12.956 Mg/m³
Density of states at the Fermi level ... 2.0 states/eV per cell
M_tot ... 0.00 μB per cell
Space group ... I4mm, No. 107
E_tot ... -15.54 eV per cell